# KBaMo2O8

A geometry-optimized KBaMo2O8 structure (GGA+U, Alexandria via LeMat-Bulk).

Lattice parameters (Å, degrees): 6.8302 6.8302 6.8302 106.65 106.65 115.28
Fractional coordinates of all 12 atoms:
K 0.0000 0.0000 0.0000
Ba 0.2500 0.7500 0.5000
Mo 0.5000 0.5000 0.0000
Mo 0.7500 0.2500 0.5000
O 0.3554 0.1770 0.8217
O 0.3554 0.5337 0.1783
O 0.4248 0.0989 0.3259
O 0.4663 0.6446 0.8217
O 0.7730 0.0989 0.6741
O 0.8230 0.6446 0.1783
O 0.9011 0.2270 0.3259
O 0.9011 0.5752 0.6741

Output
Total DFT energy (no corrections)   -0.2416 Ha/atom
Symmetry   I-4m2 (119)